# BeNbTl3, relaxed, DFT PBE
data_BeNbTl3
_cell_length_a 5.556
_cell_length_b 5.556
_cell_length_c 5.556
_cell_angle_alpha 90.00
_cell_angle_beta 90.00
_cell_angle_gamma 90.00
_symmetry_space_group_name_H-M 'P m -3 m'
_symmetry_Int_Tables_number 221
_symmetry_space_group_name_Hall '-P 4 2 3'
loop_
_atom_site_label
_atom_site_fract_x
_atom_site_fract_y
_atom_site_fract_z
Be1 0.000 0.000 0.000
Nb1 0.500 0.500 0.500
Tl1 0.000 0.500 0.500
# **Calculated total energy**: -14.93 eV for the cell shown
# **Offset from the most stable computed form**: 1.02 eV per formula unit
# **ΔH_f (0 K)**: 1.193 eV per atom

# Tb3Er4Al, relaxed, DFT PBE
data_Tb3Er4Al
_cell_length_a 3.514
_cell_length_b 3.514
_cell_length_c 18.966
_cell_angle_alpha 90.00
_cell_angle_beta 90.00
_cell_angle_gamma 90.00
_symmetry_space_group_name_H-M 'P 4/m m m'
_symmetry_Int_Tables_number 123
_symmetry_space_group_name_Hall '-P 4 2'
loop_
_atom_site_label
_atom_site_fract_x
_atom_site_fract_y
_atom_site_fract_z
Tb1 0.000 0.000 0.000
Tb2 0.000 0.000 0.266
Er1 0.500 0.500 0.133
Er2 0.500 0.500 0.400
Al1 0.000 0.000 0.500
# **Calculated total energy**: -36.58 eV for the cell shown
# **ΔH_f (0 K)**: -0.087 eV per atom

# NaNd2Au2, relaxed, DFT PBE
data_NaNd2Au2
_cell_length_a 8.395
_cell_length_b 8.395
_cell_length_c 3.849
_cell_angle_alpha 90.00
_cell_angle_beta 90.00
_cell_angle_gamma 90.00
_symmetry_space_group_name_H-M 'P 4/m b m'
_symmetry_Int_Tables_number 127
_symmetry_space_group_name_Hall '-P 4 2ab'
loop_
_atom_site_label
_atom_site_fract_x
_atom_site_fract_y
_atom_site_fract_z
Na1 0.000 0.000 0.000
Nd1 0.159 0.341 0.500
Au1 0.134 0.634 0.000
# **Calculated total energy**: -40.75 eV for the cell shown
# **ΔH_f (0 K)**: -0.593 eV per atom

# BaPd2Pb2, relaxed, DFT PBE
data_BaPd2Pb2
_cell_length_a 8.695
_cell_length_b 8.695
_cell_length_c 3.370
_cell_angle_alpha 90.00
_cell_angle_beta 90.00
_cell_angle_gamma 90.00
_symmetry_space_group_name_H-M 'P 4/m b m'
_symmetry_Int_Tables_number 127
_symmetry_space_group_name_Hall '-P 4 2ab'
loop_
_atom_site_label
_atom_site_fract_x
_atom_site_fract_y
_atom_site_fract_z
Ba1 0.000 0.000 0.000
Pd1 0.154 0.346 0.500
Pb1 0.133 0.633 0.000
# **Calculated total energy**: -41.74 eV for the cell shown
# **ΔH_f (0 K)**: -0.229 eV per atom

# Pu2Ni3Ge2, relaxed, DFT PBE
data_Pu2Ni3Ge2
_cell_length_a 11.026
_cell_length_b 3.425
_cell_length_c 6.795
_cell_angle_alpha 90.00
_cell_angle_beta 124.56
_cell_angle_gamma 90.00
_symmetry_space_group_name_H-M 'C 1 2/m 1'
_symmetry_Int_Tables_number 12
_symmetry_space_group_name_Hall '-C 2y'
loop_
_atom_site_label
_atom_site_fract_x
_atom_site_fract_y
_atom_site_fract_z
Pu1 0.178 0.000 0.362
Ni1 0.000 0.500 0.500
Ni2 0.081 0.500 0.936
Ge1 0.151 0.000 0.777
# **Calculated total energy**: -113.73 eV for the cell shown
# **ΔH_f (0 K)**: -0.232 eV per atom

# KHgAs, relaxed, DFT PBE
data_KHgAs
_cell_length_a 4.6130
_cell_length_b 4.6130
_cell_length_c 10.1585
_cell_angle_alpha 90.00
_cell_angle_beta 90.00
_cell_angle_gamma 120.00
_symmetry_space_group_name_H-M 'P 63/m m c'
_symmetry_Int_Tables_number 194
_symmetry_space_group_name_Hall '-P 6c 2c'
loop_
_atom_site_label
_atom_site_fract_x
_atom_site_fract_y
_atom_site_fract_z
K1 0.0000 0.0000 0.0000
Hg1 0.3333 0.6667 0.2500
As1 0.3333 0.6667 0.7500
# **Calculated total energy**: -14.27 eV for the cell shown
# **ΔH_f (0 K)**: -0.362 eV per atom